No. 1
Computed, not measured: a relaxed structure of CsNaCuSn2 at the PBE-GGA level of DFT.

Summary:
**Energy of formation from the pure elements**: 1.439 eV/atom

abc: 6.338 6.338 5.911
angles: 90.00 90.00 90.00
Space group P4/mmm (No. 123)
Inequivalent atoms, fractional coordinates:
Cs (0.000, 0.000, 0.000)
Na (0.000, 0.000, 0.500)
Cu (0.500, 0.500, 0.500)
Sn (0.000, 0.500, 0.000)


No. 2
Computed, not measured: a relaxed structure of Sm6Ge3TeAs2 at the PBE-GGA level of DFT.

Summary:
**Energy relative to the elements, uncorrected**: -1.119 eV/atom

abc: 18.720 4.189 8.693
angles: 90.00 104.58 90.00
Space group C2/m (No. 12)
Inequivalent atoms, fractional coordinates:
Sm (0.002, 0.000, 0.265)
Sm (0.168, 0.500, 0.579)
Sm (0.172, 0.500, 0.091)
Ge (0.000, 0.500, 0.500)
Ge (0.164, 0.000, 0.832)
Te (0.000, 0.500, 0.000)
As (0.167, 0.000, 0.333)


No. 3
Computed, not measured: a relaxed structure of Nb3ReSe at the PBE-GGA level of DFT.

Summary:
**Polymorph energy (0 for the lowest one)**: 50 meV/atom
**Energy relative to the elements, uncorrected**: 1.104 eV/atom

abc: 4.885 4.885 4.885
angles: 90.00 90.00 90.00
Space group Pm-3m (No. 221)
Inequivalent atoms, fractional coordinates:
Nb (0.000, 0.000, 0.500)
Re (0.000, 0.000, 0.000)
Se (0.500, 0.500, 0.500)


Let's list Fermi-level density of states in order: 6.74, 7.49, 6.09 states/eV/f.u..